# 1
## Ni2AgP (PBE)

Data for a relaxed Ni2AgP crystal.

a b c (Å): 2.789 3.306 5.892
angles (deg): 90.00 90.00 90.00
Sites, in units of the cell vectors:
Ni1 0.000 0.000 0.043
Ni2 0.500 0.500 0.274
Ag1 0.500 0.500 0.766
P1 0.000 0.000 0.417

Summary:
The density of states at the Fermi level comes out at 2.04 states/eV/f.u. Its volume is 54.3 Å³/cell. The calculated total energy is -19.77 eV for the cell shown. Its magnetic moment is 0.0 μB/f.u.


# 2
## Ni2AgP (PBE)

Data for a relaxed Ni2AgP crystal.

a b c (Å): 4.619 4.619 4.619
angles (deg): 138.93 121.99 73.52
Sites, in units of the cell vectors:
Ni1 0.802 0.802 0.000
Ni2 0.198 0.198 0.000
Ag1 0.500 0.000 0.500
P1 0.000 0.500 0.500

Summary:
The density of states at the Fermi level comes out at 2.70 states/eV/f.u. Its volume is 53.7 Å³/cell. The calculated total energy is -19.83 eV for the cell shown. Its magnetic moment is 0.0 μB/f.u.


# 3
## Ni2AgP (PBE)

Data for a relaxed Ni2AgP crystal.

a b c (Å): 6.629 6.629 6.629
angles (deg): 152.65 154.75 37.57
Sites, in units of the cell vectors:
Ni1 0.012 0.012 0.000
Ni2 0.336 0.836 0.500
Ag1 0.697 0.197 0.500
P1 0.455 0.455 0.000

Summary:
The density of states at the Fermi level comes out at 1.71 states/eV/f.u. Its volume is 57.0 Å³/cell. The calculated total energy is -20.05 eV for the cell shown. Its magnetic moment is 0.0 μB/f.u.